Version one
This record from the Alexandria database describes TmCdAg6 after structural relaxation. The functional is GGA-PBE.

```
TmCdAg6
1.0
-0.6587 4.2120 -2.8047
-3.7196 2.9213 1.9162
3.7170 5.1183 3.8093
Ag Cd Tm
6 1 1
direct
0.0467 0.5180 0.3020
0.6320 0.6320 0.0726
0.3680 0.3680 0.9274
0.5180 0.0467 0.3020
0.9533 0.4820 0.6980
0.4820 0.9533 0.6980
0.5000 0.5000 0.5000
0.0000 0.0000 0.0000
```

Summary:
Fermi-level density of states (states/eV per atom): 0.246
Magnetization (μB per cell): 0.00
Symmetry: C2/m (12)

Version two
This record from the Alexandria database describes TmCdAg6 after structural relaxation. The functional is GGA-PBE.

```
TmCdAg6
1.0
7.6734 0.0000 1.7142
3.6452 6.7523 1.7142
3.0264 1.8055 4.4843
Ag Tm Cd
6 1 1
direct
0.3383 0.3383 0.3455
0.9779 0.3383 0.3455
0.6617 0.6617 0.6545
0.6617 0.0221 0.6545
0.3383 0.9779 0.3455
0.0221 0.6617 0.6545
0.5000 0.5000 0.5000
0.0000 0.0000 0.0000
```

Summary:
Fermi-level density of states (states/eV per atom): 0.359
Magnetization (μB per cell): 0.00
Symmetry: R-3m (166)

From most stable to least stable, the computed energies give version one, version two.

Version one
This record from the Alexandria database describes Tm8CdAg2 after structural relaxation. The functional is GGA-PBE.

```
Tm8CdAg2
1.0
-4.8897 0.3875 2.1783
2.1523 -7.5530 2.5959
3.7048 6.4675 3.5868
Cd Tm Ag
1 8 2
direct
0.5000 0.0000 0.0000
0.8942 0.9059 0.6712
0.6963 0.3928 0.3928
0.1058 0.0941 0.3288
0.8942 0.6712 0.9059
0.5000 0.2242 0.7758
0.3037 0.6072 0.6072
0.5000 0.7758 0.2242
0.1058 0.3288 0.0941
0.0000 0.6966 0.3034
0.0000 0.3034 0.6966
```

Summary:
Fermi-level density of states (states/eV per atom): 1.274
Magnetization (μB per cell): 0.00
Symmetry: C2/m (12)

Version two
This record from the Alexandria database describes Tm8CdAg2 after structural relaxation. The functional is GGA-PBE.

```
Tm8CdAg2
1.0
4.9610 0.0000 -1.6019
-1.2479 7.1435 -3.8647
-0.0525 -0.0420 8.3202
Tm Cd Ag
8 1 2
direct
0.3158 0.0408 0.6316
0.5995 0.4616 0.1989
0.1432 0.1965 0.2864
0.4005 0.5384 0.8011
0.6842 0.9592 0.3684
0.9341 0.2767 0.8682
0.0659 0.7233 0.1318
0.8568 0.8035 0.7136
0.5000 0.0000 0.0000
0.7770 0.3799 0.5541
0.2230 0.6201 0.4459
```

Summary:
Fermi-level density of states (states/eV per atom): 1.237
Magnetization (μB per cell): 0.00
Symmetry: C2/m (12)

From most stable to least stable, the computed energies give version two, version one.

Version one
This record from the Alexandria database describes TmCdAg3 after structural relaxation. The functional is GGA-PBE.

```
TmCdAg3
1.0
-3.5311 -3.3235 -1.6410
2.5859 -4.2776 1.0813
-4.9464 -1.7805 6.2692
Cd Ag Tm
2 6 2
direct
0.0603 0.8450 0.5986
0.3508 0.3439 0.0159
0.6594 0.8442 0.4022
0.2521 0.8442 0.2166
0.7517 0.3444 0.2124
0.9557 0.3447 0.8048
0.1590 0.3448 0.3979
0.4554 0.8440 0.8097
0.5560 0.3446 0.6045
0.8551 0.8442 0.0100
```

Summary:
Fermi-level density of states (states/eV per atom): 0.477
Magnetization (μB per cell): 0.00
Symmetry: P-1 (2)

Version two
This record from the Alexandria database describes TmCdAg3 after structural relaxation. The functional is GGA-PBE.

```
TmCdAg3
1.0
4.8970 0.0000 0.9607
0.0000 6.1923 0.0000
1.1898 0.0000 7.0871
Ag Cd Tm
6 2 2
direct
0.8150 0.0035 0.8691
0.0099 0.2500 0.4835
0.8150 0.4965 0.8691
0.1850 0.5035 0.1309
0.9901 0.7500 0.5165
0.1850 0.9965 0.1309
0.6377 0.2500 0.2280
0.3623 0.7500 0.7720
0.3925 0.2500 0.7150
0.6075 0.7500 0.2850
```

Summary:
Fermi-level density of states (states/eV per atom): 0.470
Magnetization (μB per cell): 0.00
Symmetry: P2_1/m (11)

From most stable to least stable, the computed energies give version one, version two.

Version one
This record from the Alexandria database describes TmCd2Ag5 after structural relaxation. The functional is GGA-PBE.

```
TmCd2Ag5
1.0
-1.9512 -2.8813 -3.1375
2.0841 -3.7056 1.9693
-5.7440 2.4115 4.9281
Ag Tm Cd
5 1 2
direct
0.8723 0.3724 0.7444
0.6276 0.1277 0.2556
0.3724 0.8723 0.7444
0.5000 0.5000 0.0000
0.1277 0.6276 0.2556
0.0000 0.0000 0.0000
0.2517 0.2517 0.5030
0.7483 0.7483 0.4970
```

Summary:
Fermi-level density of states (states/eV per atom): 0.383
Magnetization (μB per cell): 0.00
Symmetry: Fmmm (69)

Version two
This record from the Alexandria database describes TmCd2Ag5 after structural relaxation. The functional is GGA-PBE.

```
TmCd2Ag5
1.0
7.5725 0.0000 0.0000
0.0000 7.5725 0.0000
-3.7863 -3.7863 5.6682
Ag Cd Tm
10 4 2
direct
0.5000 0.5000 0.0000
0.0221 0.5221 0.3334
0.3113 0.8113 0.3334
0.8113 0.0221 0.3334
0.0000 0.0000 0.0000
0.5221 0.3113 0.3334
0.4779 0.6887 0.6666
0.1887 0.9779 0.6666
0.6887 0.1887 0.6666
0.9779 0.4779 0.6666
0.8452 0.6548 0.0000
0.6548 0.1548 0.0000
0.1548 0.3452 0.0000
0.3452 0.8452 0.0000
0.2500 0.2500 0.5000
0.7500 0.7500 0.5000
```

Summary:
Fermi-level density of states (states/eV per atom): 0.340
Magnetization (μB per cell): 0.00
Symmetry: I4/mcm (140)

From most stable to least stable, the computed energies give version one, version two.

Version one
This record from the Alexandria database describes TmCd5Ag6 after structural relaxation. The functional is GGA-PBE.

```
TmCd5Ag6
1.0
-2.3494 -0.9552 8.1802
-1.6968 -4.0668 1.8234
5.6838 -4.1070 2.6220
Cd Ag Tm
5 6 1
direct
0.9998 0.6738 0.6680
0.4995 0.1712 0.6739
0.5005 0.8288 0.3261
0.0002 0.3262 0.3320
0.5000 0.5000 0.0000
0.2537 0.2454 0.0002
0.7449 0.4336 0.6605
0.7462 0.7546 0.9998
0.7443 0.0776 0.3399
0.2551 0.5664 0.3395
0.2557 0.9224 0.6601
0.0000 0.0000 0.0000
```

Summary:
Fermi-level density of states (states/eV per atom): 0.302
Magnetization (μB per cell): 0.00
Symmetry: P-1 (2)

Version two
This record from the Alexandria database describes TmCd5Ag6 after structural relaxation. The functional is GGA-PBE.

```
TmCd5Ag6
1.0
4.2194 -0.0020 -1.1817
-3.0003 7.0276 -2.6110
-0.0109 0.0286 8.0749
Cd Ag Tm
5 6 1
direct
0.0000 0.6701 0.3299
0.5000 0.8313 0.1687
0.5000 0.5000 0.5000
0.5000 0.1687 0.8313
0.0000 0.3299 0.6701
0.2537 0.0884 0.4196
0.7463 0.5804 0.9116
0.7463 0.9116 0.5804
0.2457 0.7449 0.7449
0.2537 0.4196 0.0884
0.7543 0.2551 0.2551
0.0000 0.0000 0.0000
```

Summary:
Fermi-level density of states (states/eV per atom): 0.270
Magnetization (μB per cell): 0.00
Symmetry: Immm (71)

From most stable to least stable, the computed energies give version one, version two.

Version one
This record from the Alexandria database describes TmCd6Ag6 after structural relaxation. The functional is GGA-PBE.

```
TmCd6Ag6
1.0
5.1978 0.0000 2.0776
2.5441 6.9381 1.1760
0.0233 -0.0184 7.4828
Ag Cd Tm
6 6 1
direct
0.5000 0.7754 0.2246
0.5000 0.0000 0.5000
0.0000 0.0000 0.5000
0.5000 0.5000 0.0000
0.0000 0.5000 0.0000
0.5000 0.2246 0.7754
0.3109 0.1891 0.1891
0.3440 0.6560 0.6560
0.0000 0.6563 0.3437
0.0000 0.3437 0.6563
0.6891 0.8109 0.8109
0.6560 0.3440 0.3440
0.0000 0.0000 0.0000
```

Summary:
Fermi-level density of states (states/eV per atom): 0.467
Magnetization (μB per cell): 0.00
Symmetry: Immm (71)

Version two
This record from the Alexandria database describes TmCd6Ag6 after structural relaxation. The functional is GGA-PBE.

```
TmCd6Ag6
1.0
-5.2846 0.0608 -2.0503
3.3088 -4.5280 -0.8261
-3.2616 -3.8961 8.2913
Cd Ag Tm
6 6 1
direct
0.6667 0.3333 0.0000
0.3333 0.6667 0.0000
0.0000 0.0000 0.6532
0.0000 0.0000 0.3468
0.3333 0.6667 0.5000
0.6667 0.3333 0.5000
0.5000 0.5000 0.2453
0.5000 0.5000 0.7547
0.0000 0.5000 0.2453
0.5000 0.0000 0.2453
0.5000 0.0000 0.7547
0.0000 0.5000 0.7547
0.0000 0.0000 0.0000
```

Summary:
Fermi-level density of states (states/eV per atom): 0.372
Magnetization (μB per cell): 0.00
Symmetry: P6/mmm (191)

From most stable to least stable, the computed energies give version two, version one.

Version one
This record from the Alexandria database describes VCd2Ag2 after structural relaxation. The functional is GGA-PBE.

```
VCd2Ag2
1.0
7.9821 0.0000 0.0000
0.0000 7.9821 0.0000
0.0000 0.0000 3.1111
V Cd Ag
2 4 4
direct
0.0000 0.0000 0.0000
0.5000 0.5000 0.0000
0.8676 0.6324 0.0000
0.6324 0.1324 0.0000
0.1324 0.3676 0.0000
0.3676 0.8676 0.0000
0.6678 0.8322 0.5000
0.1678 0.6678 0.5000
0.3322 0.1678 0.5000
0.8322 0.3322 0.5000
```

Summary:
Fermi-level density of states (states/eV per atom): 0.606
Magnetization (μB per cell): 6.97
Symmetry: P4/mbm (127)

Version two
This record from the Alexandria database describes VCd2Ag2 after structural relaxation. The functional is GGA-PBE.

```
VCd2Ag2
1.0
-1.2246 4.1558 6.6608
-6.8569 -3.8494 1.1410
1.5073 -2.1966 1.6476
Ag Cd V
4 4 2
direct
0.6285 0.1285 0.0000
0.3715 0.8715 0.0000
0.8715 0.6285 0.0000
0.1285 0.3715 0.0000
0.3292 0.1708 0.5000
0.6708 0.8292 0.5000
0.1708 0.6708 0.5000
0.8292 0.3292 0.5000
0.0000 0.0000 0.0000
0.5000 0.5000 0.0000
```

Summary:
Fermi-level density of states (states/eV per atom): 0.685
Magnetization (μB per cell): 6.89
Symmetry: P4/mbm (127)

Version three
This record from the Alexandria database describes VCd2Ag2 after structural relaxation. The functional is GGA-PBE.

```
VCd2Ag2
1.0
3.8564 0.0000 0.0000
0.0000 3.8564 0.0000
1.9282 1.9282 7.0569
Cd Ag V
2 2 1
direct
0.5979 0.5979 0.8041
0.4021 0.4021 0.1959
0.2500 0.7500 0.5000
0.7500 0.2500 0.5000
0.0000 0.0000 0.0000
```

Summary:
Fermi-level density of states (states/eV per atom): 0.679
Magnetization (μB per cell): 3.41
Symmetry: I4/mmm (139)

From most stable to least stable, the computed energies give version two, version one, version three.

Version one
This record from the Alexandria database describes VCd2Ag after structural relaxation. The functional is GGA-PBE.

```
VCd2Ag
1.0
-1.1829 -1.8343 1.9072
-1.3510 -2.3888 -0.9328
8.3428 -6.8029 0.8343
Cd V Ag
2 1 1
direct
0.9123 0.9123 0.2631
0.0877 0.0877 0.7369
0.0000 0.0000 0.0000
0.5000 0.5000 0.5000
```

Summary:
Fermi-level density of states (states/eV per atom): 0.709
Magnetization (μB per cell): 1.53
Symmetry: R-3m (166)

Version two
This record from the Alexandria database describes VCd2Ag after structural relaxation. The functional is GGA-PBE.

```
VCd2Ag
1.0
-5.9042 -3.9386 2.9467
4.7045 -5.8658 1.5858
-0.0584 -3.7631 4.8738
Cd Ag V
4 2 2
direct
0.3750 0.3678 0.7500
0.6322 0.1250 0.2500
0.1178 0.6250 0.2500
0.8750 0.8822 0.7500
0.7500 0.2500 0.5000
0.0000 0.0000 0.0000
0.5000 0.5000 0.0000
0.2500 0.7500 0.5000
```

Summary:
Fermi-level density of states (states/eV per atom): 1.183
Magnetization (μB per cell): 6.74
Symmetry: I-42d (122)

From most stable to least stable, the computed energies give version one, version two.

Version one
This record from the Alexandria database describes VCd3Ag after structural relaxation. The functional is GGA-PBE.

```
VCd3Ag
1.0
5.1581 0.0000 0.0000
0.0000 5.1581 0.0000
0.0000 0.0000 5.1581
Cd V Ag
3 1 1
direct
0.0000 0.0000 0.5000
0.0000 0.5000 0.0000
0.5000 0.0000 0.0000
0.5000 0.5000 0.5000
0.0000 0.0000 0.0000
```

Summary:
Fermi-level density of states (states/eV per atom): 1.150
Magnetization (μB per cell): 3.99
Symmetry: Pm-3m (221)

Version two
This record from the Alexandria database describes VCd3Ag after structural relaxation. The functional is GGA-PBE.

```
VCd3Ag
1.0
5.2956 0.0000 0.0000
0.0000 5.2956 0.0000
0.0000 0.0000 5.2956
Cd V Ag
3 1 1
direct
0.5000 0.0000 0.0000
0.0000 0.5000 0.0000
0.0000 0.0000 0.5000
0.0000 0.0000 0.0000
0.5000 0.5000 0.5000
```

Summary:
Fermi-level density of states (states/eV per atom): 0.696
Magnetization (μB per cell): 3.76
Symmetry: Pm-3m (221)

From most stable to least stable, the computed energies give version one, version two.

Version one
This record from the Alexandria database describes CdAg3W after structural relaxation. The functional is GGA-PBE.

```
CdAg3W
1.0
5.1271 0.0000 0.0000
0.0000 5.1271 0.0000
0.0000 0.0000 5.1271
W Ag Cd
1 3 1
direct
0.0000 0.0000 0.0000
0.5000 0.0000 0.0000
0.0000 0.0000 0.5000
0.0000 0.5000 0.0000
0.5000 0.5000 0.5000
```

Summary:
Fermi-level density of states (states/eV per atom): 1.185
Magnetization (μB per cell): 0.86
Symmetry: Pm-3m (221)

Version two
This record from the Alexandria database describes CdAg3W after structural relaxation. The functional is GGA-PBE.

```
CdAg3W
1.0
4.9114 0.0000 0.0000
0.0000 4.9114 0.0000
0.0000 0.0000 4.9114
Cd W Ag
1 1 3
direct
0.0000 0.0000 0.0000
0.5000 0.5000 0.5000
0.0000 0.5000 0.0000
0.5000 0.0000 0.0000
0.0000 0.0000 0.5000
```

Summary:
Fermi-level density of states (states/eV per atom): 0.987
Magnetization (μB per cell): 0.00
Symmetry: Pm-3m (221)

From most stable to least stable, the computed energies give version one, version two.

Version one
This record from the Alexandria database describes CdAgW after structural relaxation. The functional is GGA-PBE.

```
CdAgW
1.0
-1.7168 -2.2038 0.6653
0.9277 0.3341 -2.6971
5.9805 -4.1946 1.5375
Cd W Ag
1 1 1
direct
0.6667 0.3333 0.3326
0.3333 0.6667 0.6724
0.0000 0.0000 0.9950
```

Summary:
Fermi-level density of states (states/eV per atom): 0.679
Magnetization (μB per cell): 0.00
Symmetry: P3m1 (156)

Version two
This record from the Alexandria database describes CdAgW after structural relaxation. The functional is GGA-PBE.

```
CdAgW
1.0
4.4408 0.0000 0.0000
2.2204 3.8459 0.0000
2.2204 1.2820 3.6259
Ag W Cd
1 1 1
direct
0.2500 0.2500 0.2500
0.5000 0.5000 0.5000
0.0000 0.0000 0.0000
```

Summary:
Fermi-level density of states (states/eV per atom): 1.587
Magnetization (μB per cell): 0.95
Symmetry: F-43m (216)

From most stable to least stable, the computed energies give version one, version two.